Here is a relaxed structure of TeIOF2 from Alexandria via LeMat-Bulk. Energies are from GGA-PBEsol.

Calculated values
**Final energy**: -3.0642 eV per atom
**Fermi-level density of states**: 3.33 states/eV per cell
**Formation energy from raw total energies**: -184.8 meV/atom

a b c (Å): 4.8730 4.8730 3.9637
angles (deg): 90.00 90.00 90.00
Closest atoms and distances in Å follow each position.
Space group P4/mmm (No. 123)
Unique sites:
Te 0.0000 0.0000 0.0000 (multiplicity 1)  8 F 3.14, 4 O 3.45
I 0.5000 0.5000 0.5000 (multiplicity 1)  2 O 1.98
O 0.5000 0.5000 0.0000 (multiplicity 1)  2 I 1.98
F 0.0000 0.5000 0.5000 (multiplicity 2)  2 I 2.44